Run one
8
Lattice="4.2676 0.0000 0.0000 0.0000 4.2676 0.0000 0.0000 0.0000 6.5969" Properties=species:S:1:pos:R:3 comment="ZrAsIrO PBE-GGA optimized geometry" spacegroup="P4/nmm (129)" rho_g_cm3=10.3 magnetic_moment_mub_per_fu=0.002 pbc="T T T"
O 3.2007 1.0669 0.0000
Zr 3.2007 1.0669 3.2984
Ir 1.0669 1.0669 0.8392
As 1.0669 1.0669 4.9475
O 1.0669 3.2007 0.0000
As 3.2007 3.2007 1.6494
Zr 1.0669 3.2007 3.2984
Ir 3.2007 3.2007 5.7577


Run two
8
Lattice="5.6238 0.0000 0.0000 0.0000 5.6238 0.0000 0.0000 0.0000 4.4387" Properties=species:S:1:pos:R:3 comment="ZrAsIrO PBE-GGA optimized geometry" spacegroup="P4/mmm (123)" rho_g_cm3=8.9 magnetic_moment_mub_per_fu=0.005 pbc="T T T"
O 2.8119 2.8119 0.0000
Ir 2.8119 0.0000 2.2174
As 2.8119 0.0000 4.4367
As 0.0000 2.8119 0.0020
O 0.0000 0.0000 0.0000
Ir 0.0000 2.8119 2.2213
Zr 2.8119 2.8119 2.2193
Zr 0.0000 0.0000 2.2193


Run three
8
Lattice="3.4227 0.0000 0.0000 0.0000 7.0488 0.0000 0.0000 0.0000 6.1134" Properties=species:S:1:pos:R:3 comment="ZrAsIrO PBE-GGA optimized geometry" spacegroup="Pmc2_1 (26)" rho_g_cm3=8.4 magnetic_moment_mub_per_fu=0.003 pbc="T T T"
Ir 1.7114 4.7311 3.5211
As 0.0000 5.7658 2.1720
As 0.0000 1.2830 5.2287
O 1.7114 2.6321 2.6350
Ir 1.7114 2.3177 0.4644
Zr 0.0000 1.4318 2.3948
Zr 0.0000 5.6170 5.4515
O 1.7114 4.4167 5.6917


Run four
8
Lattice="4.0593 0.0000 0.0000 0.0000 4.8730 0.0000 0.0000 0.0000 6.4691" Properties=species:S:1:pos:R:3 comment="ZrAsIrO PBE-GGA optimized geometry" spacegroup="Pmc2_1 (26)" rho_g_cm3=9.7 magnetic_moment_mub_per_fu=0.005 pbc="T T T"
O 2.0296 3.6756 5.9816
As 0.0000 3.4120 1.9431
Zr 2.0296 3.0264 3.9143
Ir 0.0000 4.0402 5.9768
O 2.0296 1.1973 2.7471
Ir 0.0000 0.8327 2.7423
As 0.0000 1.4609 5.1776
Zr 2.0296 1.8466 0.6798


Least stable of them? run one.


Run one
10
Lattice="-3.2206 2.1555 2.3649 -1.4285 -3.9709 1.6739 6.4151 0.9933 7.8307" Properties=species:S:1:pos:R:3 comment="PrSnAsIrPd PBE-GGA optimized geometry" spacegroup="P4/nmm (129)" rho_g_cm3=10.0 magnetic_moment_mub_per_fu=0.007 pbc="T T T"
Pd 3.2075 0.4966 3.9154
Pr 0.7502 -1.7587 2.6246
As -2.3245 -0.9077 2.0194
Ir 5.0529 -1.0925 7.8768
Sn 3.3882 -1.3503 5.8447
Pd 0.8830 -0.4111 5.9348
Pr 3.3403 1.8443 7.2255
Ir -0.9624 1.1781 1.9733
Sn 0.7023 1.4358 4.0054
As 0.0000 0.0000 0.0000


Run two
10
Lattice="-4.0783 1.1410 1.5420 -1.5461 0.1894 -4.2292 -2.5993 -9.9714 0.5037" Properties=species:S:1:pos:R:3 comment="PrSnAsIrPd PBE-GGA optimized geometry" spacegroup="P4/nmm (129)" rho_g_cm3=10.0 magnetic_moment_mub_per_fu=0.012 pbc="T T T"
Pd -3.0899 -8.7932 -1.6656
As -2.8122 0.6652 -1.3436
Sn -2.4301 -6.2620 -1.7935
Pd -2.3216 -0.5130 0.8257
Pr -4.0112 -6.9948 1.1532
Sn -2.9814 -3.0442 0.9536
Ir -1.2997 -4.9857 0.2518
As 0.0000 0.0000 0.0000
Pr -1.4003 -2.3114 -1.9930
Ir -4.1118 -4.3205 -1.0917


Least stable of them? run two.